# 1
{
  "formula": "K3H2Br",
  "functional": "GGA-PBE",
  "state": "optimized geometry",
  "lattice": [[7.0150, 0.0000, 3.6952], [2.3804, 6.5282, 3.9873], [0.2898, 0.8952, 7.9559]],
  "species": ["K", "K", "K", "K", "K", "K", "H", "H", "H", "H", "Br", "Br"],
  "fractional_positions": [[0.5000, 0.5000, 0.0000], [0.0000, 0.2638, 0.7362], [0.5000, 0.0000, 0.5000], [0.5000, 0.2362, 0.7638], [0.5000, 0.7638, 0.2362], [0.0000, 0.7362, 0.2638], [0.6402, 0.5754, 0.5754], [0.2909, 0.9246, 0.9246], [0.3598, 0.4246, 0.4246], [0.7091, 0.0754, 0.0754], [0.8482, 0.7500, 0.7500], [0.1518, 0.2500, 0.2500]],
  "spacegroup": "Imma (74)"
}


# 2
{
  "formula": "Nd5HoCd3",
  "functional": "GGA-PBE",
  "state": "optimized geometry",
  "lattice": [[7.0442, 0.0000, 0.0000], [0.0000, 9.4525, 0.0000], [0.0000, -4.7263, 8.1860]],
  "species": ["Nd", "Nd", "Nd", "Nd", "Nd", "Nd", "Nd", "Nd", "Nd", "Nd", "Cd", "Cd", "Cd", "Cd", "Cd", "Cd", "Ho", "Ho"],
  "fractional_positions": [[0.0000, 0.6667, 0.3333], [0.5000, 0.3333, 0.6667], [0.2500, 0.6656, 0.0000], [0.7500, 0.0000, 0.3344], [0.2500, 0.0000, 0.6656], [0.2500, 0.3344, 0.3344], [0.7500, 0.3344, 0.0000], [0.5000, 0.6667, 0.3333], [0.0000, 0.3333, 0.6667], [0.7500, 0.6656, 0.6656], [0.2500, 0.6721, 0.6721], [0.7500, 0.3279, 0.3279], [0.7500, 0.6721, 0.0000], [0.2500, 0.0000, 0.3279], [0.7500, 0.0000, 0.6721], [0.2500, 0.3279, 0.0000], [0.0000, 0.0000, 0.0000], [0.5000, 0.0000, 0.0000]],
  "spacegroup": "P6_3/mcm (193)"
}


| no. | energy (eV per cell) |
| --- | --- |
| 1 | -30.9 |
| 2 | -65.5 |